LiSc2Pd: relaxed, PBE.

Unit cell a=4.657 b=4.657 c=3.426 alpha=90.00 beta=90.00 gamma=90.00
Fractional coordinates of all 4 atoms:
Li 0.000 0.000 0.000
Sc 0.000 0.500 0.500
Sc 0.500 0.000 0.500
Pd 0.500 0.500 0.000

Computed properties:
V = 18.58 Å³ per atom
energy of formation = -0.403 eV per atom
D(E_F) = 4.315 states/eV/cell
magnetic moment = 0.0000 μB/atom
symmetry = P4/mmm
electronic total energy = -5.35 eV/atom

---

Ba2CdAgPd: relaxed, PBE.

Unit cell a=6.063 b=6.063 c=5.242 alpha=90.00 beta=90.00 gamma=90.00
Fractional coordinates of all 5 atoms:
Ba 0.000 0.500 0.000
Ba 0.500 0.000 0.000
Cd 0.000 0.000 0.500
Ag 0.500 0.500 0.500
Pd 0.000 0.000 0.000

Computed properties:
V = 38.54 Å³ per atom
energy of formation = -0.246 eV per atom
D(E_F) = 3.614 states/eV/cell
magnetic moment = 0.0000 μB/atom
symmetry = P4/mmm
electronic total energy = -2.81 eV/atom

---

CeNpCoTc: relaxed, PBE.

Unit cell a=4.606 b=4.606 c=4.606 alpha=60.00 beta=60.00 gamma=60.00
Fractional coordinates of all 4 atoms:
Ce 0.000 0.000 0.000
Np 0.750 0.750 0.750
Co 0.250 0.250 0.250
Tc 0.500 0.500 0.500

Computed properties:
V = 17.28 Å³ per atom
energy of formation = 0.149 eV per atom
D(E_F) = 11.656 states/eV/cell
magnetic moment = 0.6003 μB/atom
symmetry = F-43m
electronic total energy = -8.94 eV/atom

---

CdInOs2: relaxed, PBE.

Unit cell a=5.518 b=5.518 c=5.518 alpha=148.62 beta=127.57 gamma=62.39
Fractional coordinates of all 4 atoms:
Cd 0.000 0.000 0.000
In 0.500 0.500 0.000
Os 0.255 0.755 0.500
Os 0.745 0.245 0.500

Computed properties:
V = 17.17 Å³ per atom
energy of formation = 0.741 eV per atom
D(E_F) = 4.423 states/eV/cell
magnetic moment = 0.0012 μB/atom
symmetry = Immm
electronic total energy = -5.79 eV/atom

---

ZrAlNi: relaxed, PBE.

Unit cell a=6.811 b=6.811 c=4.116 alpha=90.00 beta=90.00 gamma=120.00
Fractional coordinates of all 9 atoms:
Zr 0.000 0.000 0.000
Zr 0.333 0.667 0.500
Zr 0.667 0.333 0.500
Al 0.000 0.240 0.500
Al 0.240 0.000 0.500
Al 0.760 0.760 0.500
Ni 0.000 0.613 0.000
Ni 0.387 0.387 0.000
Ni 0.613 0.000 0.000

Computed properties:
V = 18.38 Å³ per atom
energy of formation = 0.362 eV per atom
D(E_F) = 6.110 states/eV/cell
magnetic moment = 0.0000 μB/atom
symmetry = P-62m
electronic total energy = -5.66 eV/atom

---

CaBi3B: relaxed, PBE.

Unit cell a=5.196 b=5.196 c=5.196 alpha=90.00 beta=90.00 gamma=90.00
Fractional coordinates of all 5 atoms:
Ca 0.000 0.000 0.000
Bi 0.000 0.500 0.500
Bi 0.500 0.000 0.500
Bi 0.500 0.500 0.000
B 0.500 0.500 0.500

Computed properties:
V = 28.05 Å³ per atom
energy of formation = 0.371 eV per atom
D(E_F) = 4.633 states/eV/cell
magnetic moment = 0.0000 μB/atom
symmetry = Pm-3m
electronic total energy = -3.69 eV/atom

---

TaCrCl2: relaxed, PBE.

Unit cell a=3.257 b=3.257 c=10.253 alpha=90.00 beta=90.00 gamma=125.55
Fractional coordinates of all 4 atoms:
Ta 0.000 0.000 0.000
Cr 0.000 0.000 0.500
Cl 0.500 0.500 0.196
Cl 0.500 0.500 0.804

Computed properties:
V = 22.12 Å³ per atom
D(E_F) = 2.397 states/eV/cell
magnetic moment = 1.1960 μB/atom
symmetry = Cmmm
electronic total energy = -6.11 eV/atom
formation energy (no corrections) = 0.1861 eV per atom

---

Zr2CrW: relaxed, PBE.

Unit cell a=5.941 b=5.941 c=5.941 alpha=102.93 beta=102.93 gamma=123.54
Fractional coordinates of all 8 atoms:
Zr 0.113 0.625 0.988
Zr 0.375 0.363 0.488
Zr 0.637 0.125 0.012
Zr 0.875 0.887 0.512
Cr 0.000 0.000 0.000
Cr 0.750 0.250 0.500
W 0.250 0.750 0.500
W 0.500 0.500 0.000

Computed properties:
V = 19.25 Å³ per atom
energy of formation = 0.773 eV per atom
D(E_F) = 9.812 states/eV/cell
magnetic moment = 0.4828 μB/atom
symmetry = I-42d
electronic total energy = -9.14 eV/atom